Computed, not measured: a crystal of TlCCl2 relaxed with PBEsol at the SCAN level of DFT.

Calculated values
Calculated volume   82.0 Å³ per cell
Uncorrected formation energy   1.266 eV/atom

POSCAR file:
```
TlCCl2
1.0
-3.681 1.639 2.749
-1.977 -2.885 3.400
0.724 0.953 4.728
C Cl Tl
1 2 1
Direct
0.000 0.000 0.000
0.750 0.750 0.750
0.250 0.250 0.250
0.500 0.500 0.500
```

***

Computed, not measured: a crystal of B2TeF2 relaxed with PBEsol at the SCAN level of DFT.

Calculated values
Calculated volume   134.8 Å³ per cell
Uncorrected formation energy   -0.077 eV/atom

POSCAR file:
```
B2TeF2
1.0
2.733 0.000 0.000
0.000 7.023 0.000
0.000 0.000 7.023
F B Te
4 4 2
Direct
0.500 0.625 0.875
0.500 0.125 0.625
0.500 0.875 0.375
0.500 0.375 0.125
0.000 0.220 0.720
0.000 0.780 0.280
0.000 0.280 0.220
0.000 0.720 0.780
0.000 0.000 0.000
0.000 0.500 0.500
```

***

Computed, not measured: a crystal of BaLiAg2 relaxed with PBEsol at the SCAN level of DFT.

Calculated values
Calculated volume   105.4 Å³ per cell
Formation energy   -0.191 eV per atom

POSCAR file:
```
BaLiAg2
1.0
4.685 0.000 0.000
-2.343 4.050 -0.047
0.000 -2.650 5.583
Ag Ba Li
2 1 1
Direct
0.998 0.996 0.994
0.697 0.394 0.092
0.497 0.994 0.491
0.308 0.615 0.923
```

***

Computed, not measured: a crystal of LaScPb relaxed with PBEsol at the SCAN level of DFT.

Calculated values
Calculated volume   84.5 Å³ per cell
Formation energy   -0.224 eV per atom

POSCAR file:
```
LaScPb
1.0
3.460 0.000 0.000
-1.730 2.997 0.000
0.000 0.000 8.147
La Sc Pb
1 1 1
Direct
0.000 0.000 0.001
0.667 0.333 0.348
0.333 0.667 0.650
```

***

Computed, not measured: a crystal of YScNi4 relaxed with PBEsol at the SCAN level of DFT.

Calculated values
Calculated volume   83.5 Å³ per cell
Formation energy   -0.471 eV per atom

POSCAR file:
```
YScNi4
1.0
4.905 0.000 0.000
2.453 4.248 0.000
2.453 1.416 4.005
Ni Sc Y
4 1 1
Direct
0.376 0.376 0.873
0.376 0.873 0.376
0.376 0.376 0.376
0.873 0.376 0.376
0.750 0.750 0.750
0.000 0.000 0.000
```

***

Computed, not measured: a crystal of MgAl2Mo relaxed with PBEsol at the SCAN level of DFT.

Calculated values
Calculated volume   62.2 Å³ per cell
Formation energy   -0.192 eV per atom

POSCAR file:
```
MgAl2Mo
1.0
3.870 0.000 0.000
0.000 3.870 0.000
-1.935 -1.935 4.150
Mo Mg Al
1 1 2
Direct
0.000 0.000 0.000
0.500 0.500 0.000
0.250 0.750 0.500
0.750 0.250 0.500
```

***

Computed, not measured: a crystal of PtSeBr2Cl relaxed with PBEsol at the SCAN level of DFT.

Calculated values
Calculated volume   123.6 Å³ per cell
Uncorrected formation energy   0.312 eV/atom

POSCAR file:
```
PtSeBr2Cl
1.0
4.756 0.000 0.000
0.000 5.097 0.000
0.000 0.000 5.097
Pt Br Se Cl
1 2 1 1
Direct
0.000 0.000 0.000
0.000 0.000 0.500
0.000 0.500 0.000
0.500 0.000 0.000
0.500 0.500 0.500
```

***

Computed, not measured: a crystal of RbReTc3 relaxed with PBEsol at the SCAN level of DFT.

Calculated values
Calculated volume   109.4 Å³ per cell
Formation energy   1.658 eV per atom

POSCAR file:
```
RbReTc3
1.0
4.783 0.000 0.000
0.000 4.783 0.000
0.000 0.000 4.783
Re Tc Rb
1 3 1
Direct
0.000 0.000 0.000
0.500 0.000 0.000
0.000 0.000 0.500
0.000 0.500 0.000
0.500 0.500 0.500
```

***

Which of these has the highest calculated volume? B2TeF2

***

What did the second record say?
Computed, not measured: a crystal of B2TeF2 relaxed with PBEsol at the SCAN level of DFT.

Calculated values
Calculated volume   134.8 Å³ per cell
Uncorrected formation energy   -0.077 eV/atom

POSCAR file:
```
B2TeF2
1.0
2.733 0.000 0.000
0.000 7.023 0.000
0.000 0.000 7.023
F B Te
4 4 2
Direct
0.500 0.625 0.875
0.500 0.125 0.625
0.500 0.875 0.375
0.500 0.375 0.125
0.000 0.220 0.720
0.000 0.780 0.280
0.000 0.280 0.220
0.000 0.720 0.780
0.000 0.000 0.000
0.000 0.500 0.500
```

***

Repeat the fifth record exactly.
Computed, not measured: a crystal of YScNi4 relaxed with PBEsol at the SCAN level of DFT.

Calculated values
Calculated volume   83.5 Å³ per cell
Formation energy   -0.471 eV per atom

POSCAR file:
```
YScNi4
1.0
4.905 0.000 0.000
2.453 4.248 0.000
2.453 1.416 4.005
Ni Sc Y
4 1 1
Direct
0.376 0.376 0.873
0.376 0.873 0.376
0.376 0.376 0.376
0.873 0.376 0.376
0.750 0.750 0.750
0.000 0.000 0.000
```

***

Among the records above, which one has the lowest calculated volume? MgAl2Mo